Entry 1:
Entry from Alexandria: a relaxed LiLaEuSb crystal (PBE).

raw formation energy = -536 meV/atom
crystal system = cubic
V = 29.09 Å³/atom

Cell: 5.4798 5.4798 5.4798 Å, 60.00 60.00 60.00°
Last column: magnetic moment on the atom in μB.
Fractional coordinates of all 4 atoms:
Sb 0.5000 0.5000 0.5000  -0.04
Eu 0.7500 0.7500 0.7500  6.92
La 0.2500 0.2500 0.2500  0.19
Li 0.0000 0.0000 0.0000  0.02

***

Entry 2:
Entry from Alexandria: a relaxed Ca3AsH2 crystal (PBE).

crystal system = monoclinic
V = 21.87 Å³/atom

Cell: 4.1887 6.0024 11.1192 Å, 106.74 100.86 90.00°
Last column: magnetic moment on the atom in μB.
Fractional coordinates of all 12 atoms:
Ca 0.6040 0.3573 0.2080  0.08
H 0.2892 0.5867 0.5784  0.00
H 0.0622 0.2337 0.1245  0.00
As 0.6482 0.8888 0.2963  0.02
H 0.9378 0.7663 0.8755  0.00
Ca 0.3960 0.6427 0.7920  0.08
As 0.3518 0.1112 0.7037  0.02
H 0.7108 0.4133 0.4216  0.00
Ca 0.0536 0.8269 0.1072  0.10
Ca 0.7728 0.7835 0.5457  0.03
Ca 0.2272 0.2165 0.4543  0.03
Ca 0.9464 0.1731 0.8928  0.10

***

Entry 3:
Entry from Alexandria: a relaxed Tb4SmHo4 crystal (PBE).

crystal system = tetragonal
V = 31.64 Å³/atom
formation enthalpy at 0 K = 0.02 eV/atom
relative energy among the computed polymorphs = 0.000 eV/atom

Cell: 5.0105 7.9436 7.9436 Å, 84.29 71.62 71.62°
Fractional coordinates of all 9 atoms:
Ho 0.3330 0.9999 0.3341
Sm 0.0000 0.0000 0.0000
Tb 0.0001 0.3332 0.6666
Tb 0.6667 0.3334 0.3332
Ho 0.3329 0.3341 0.0001
Tb 0.3333 0.6666 0.6668
Ho 0.6671 0.6659 0.9999
Tb 0.9999 0.6668 0.3334
Ho 0.6670 0.0001 0.6659

***

Entry 4:
Entry from Alexandria: a relaxed SrTeIr2 crystal (PBE).

raw formation energy = 227 meV/atom
crystal system = tetragonal
V = 20.92 Å³/atom

Cell: 3.2709 3.2709 7.8216 Å, 90.00 90.00 90.00°
Fractional coordinates of all 4 atoms:
Te 0.5000 0.5000 0.7500
Ir 0.0000 0.0000 0.5464
Ir 0.0000 0.0000 0.9536
Sr 0.5000 0.5000 0.2500

***

Entry 5:
Entry from Alexandria: a relaxed RbPbN crystal (PBE).

raw formation energy = 350 meV/atom
crystal system = triclinic
V = 28.80 Å³/atom
relative energy among the computed polymorphs = 0.439 eV/atom

Cell: 3.7175 3.7177 14.9398 Å, 76.28 88.19 60.00°
Fractional coordinates of all 6 atoms:
Pb 0.7421 0.5248 0.8296
Rb 0.5408 0.0381 0.3967
Rb 0.5054 0.9459 0.0365
N 0.2661 0.5552 0.5228
Pb 0.9703 0.1264 0.6034
N 0.1132 0.7621 0.9107

***

Entry 6:
Entry from Alexandria: a relaxed DyFe2GeH crystal (PBE).

crystal system = orthorhombic
V = 13.59 Å³/atom

Cell: 3.5698 5.5164 7.2960 Å, 90.00 90.00 108.88°
Last column: magnetic moment on the atom in μB.
Fractional coordinates of all 10 atoms:
Dy 0.5421 0.0842 0.2500  -0.22
Ge 0.2625 0.5251 0.2500  -0.08
H 0.0000 0.0000 0.5000  -0.01
H 0.0000 0.0000 0.0000  -0.01
Dy 0.4579 0.9158 0.7500  -0.22
Ge 0.7375 0.4749 0.7500  -0.08
Fe 0.1652 0.3305 0.9456  2.01
Fe 0.8348 0.6695 0.0544  2.01
Fe 0.8348 0.6695 0.4456  2.01
Fe 0.1652 0.3305 0.5544  2.01

***

For each record above, in turn, the calculated E values are -5.85, -3.57, -4.60, -5.41, -3.98, -6.27 eV per atom.
For each record above, in turn, the calculated DOS at the Fermi energy values are 3.54, 0.89, 12.92, 2.47, 1.25, 2.54 states/eV/f.u..